Entry 1:
Entry from the Alexandria database: a relaxed BeRh2C2 crystal (PBE).

Summary:
relative energy among the computed polymorphs	216.4	meV per atom
energy of formation from the pure elements	1.015	eV/atom
electronic total energy	-6.36	eV/atom

CIF file:
```
data_BeRh2C2
_chemical_formula_sum 'Be2 Rh4 C4'
_space_group_name_H-M_alt 'P 4/m b m'
_space_group_IT_number 127
_space_group_name_Hall '-P 4 2ab'
_cell_length_a 6.105
_cell_length_b 6.105
_cell_length_c 2.770
_cell_angle_alpha 90.00
_cell_angle_beta 90.00
_cell_angle_gamma 90.00
loop_
_atom_site_label
_atom_site_fract_x
_atom_site_fract_y
_atom_site_fract_z
Be1 0.000 0.000 0.000
Rh1 0.159 0.341 0.000
C1 0.167 0.667 0.500
```

Entry 2:
Entry from the Alexandria database: a relaxed Sm3Er2Tm crystal (PBE).

Summary:
relative energy among the computed polymorphs	0.0	meV per atom
energy of formation from the pure elements	0.006	eV/atom
electronic total energy	-4.62	eV/atom

CIF file:
```
data_Sm3Er2Tm
_chemical_formula_sum 'Sm12 Er8 Tm4'
_space_group_name_H-M_alt 'C 1 2/c 1'
_space_group_IT_number 15
_cell_length_a 17.711
_cell_length_b 7.183
_cell_length_c 6.226
_cell_angle_alpha 90.00
_cell_angle_beta 103.56
_cell_angle_gamma 90.00
loop_
_space_group_symop_operation_xyz
'x,y,z'
'-x,-y,-z'
'-x,y,-z+1/2'
'x,-y,z+1/2'
'x+1/2,y+1/2,z'
'-x+1/2,-y+1/2,-z'
'-x+1/2,y+1/2,-z+1/2'
'x+1/2,-y+1/2,z+1/2'
loop_
_atom_site_label
_atom_site_fract_x
_atom_site_fract_y
_atom_site_fract_z
Sm1 0.000 0.127 0.250
Sm2 0.167 0.125 0.026
Er1 0.166 0.376 0.528
Tm1 0.000 0.377 0.750
```

Entry 3:
Entry from the Alexandria database: a relaxed Tl2ZnCr2Se6 crystal (PBE).

Summary:
ΔE_f (raw)	-41.0	kJ/mol of atoms
electronic total energy	-4.62	eV/atom

CIF file:
```
data_Tl2ZnCr2Se6
_chemical_formula_sum 'Tl4 Zn2 Cr4 Se12'
_space_group_name_H-M_alt 'C 1 2/m 1'
_space_group_IT_number 12
_cell_length_a 6.505
_cell_length_b 11.409
_cell_length_c 7.671
_cell_angle_alpha 90.00
_cell_angle_beta 106.34
_cell_angle_gamma 90.00
loop_
_space_group_symop_operation_xyz
'x,y,z'
'-x,-y,-z'
'-x,y,-z'
'x,-y,z'
'x+1/2,y+1/2,z'
'-x+1/2,-y+1/2,-z'
'-x+1/2,y+1/2,-z'
'x+1/2,-y+1/2,z'
loop_
_atom_site_label
_atom_site_fract_x
_atom_site_fract_y
_atom_site_fract_z
Tl1 0.000 0.158 0.000
Zn1 0.000 0.000 0.500
Cr1 0.000 0.325 0.500
Se1 0.218 0.500 0.670
Se2 0.244 0.178 0.693
```

Entry 4:
Entry from the Alexandria database: a relaxed SmGdRu crystal (PBE).

Summary:
relative energy among the computed polymorphs	169.6	meV per atom
energy of formation from the pure elements	-0.080	eV/atom
electronic total energy	-9.44	eV/atom

CIF file:
```
data_SmGdRu
_chemical_formula_sum 'Sm1 Gd1 Ru1'
_space_group_name_H-M_alt 'P 3 m 1'
_space_group_IT_number 156
_cell_length_a 4.7426
_cell_length_b 4.7426
_cell_length_c 3.6782
_cell_angle_alpha 90.00
_cell_angle_beta 90.00
_cell_angle_gamma 120.00
loop_
_space_group_symop_operation_xyz
'x,y,z'
'-y,x-y,z'
'-x+y,-x,z'
'-y,-x,z'
'-x+y,y,z'
'x,x-y,z'
loop_
_atom_site_label
_atom_site_fract_x
_atom_site_fract_y
_atom_site_fract_z
Sm1 0.0000 0.0000 0.0000
Gd1 0.3333 0.6667 0.4458
Ru1 0.6667 0.3333 0.7023
```

Entry 5:
Entry from the Alexandria database: a relaxed RbLiH4N2 crystal (PBE).

Summary:
electronic total energy	-4.57	eV/atom

CIF file:
```
data_RbLiH4N2
_chemical_formula_sum 'Rb4 Li4 H16 N8'
_space_group_name_H-M_alt 'P n m a'
_space_group_IT_number 62
_cell_length_a 7.945
_cell_length_b 3.878
_cell_length_c 11.640
_cell_angle_alpha 90.00
_cell_angle_beta 90.00
_cell_angle_gamma 90.00
loop_
_space_group_symop_operation_xyz
'x,y,z'
'-x,-y,-z'
'-x+1/2,-y,z+1/2'
'x+1/2,y,-z+1/2'
'x+1/2,-y+1/2,-z+1/2'
'-x+1/2,y+1/2,z+1/2'
'-x,y+1/2,-z'
'x,-y+1/2,z'
loop_
_atom_site_label
_atom_site_fract_x
_atom_site_fract_y
_atom_site_fract_z
Rb1 0.127 0.250 0.240
Li1 0.114 0.750 0.002
H1 0.103 0.045 0.575
H2 0.125 0.250 0.823
H3 0.236 0.250 0.939
N1 0.113 0.250 0.911
N2 0.167 0.250 0.611
```

Entry 6:
Entry from the Alexandria database: a relaxed Ho4Zn2Cd crystal (PBE).

Summary:
relative energy among the computed polymorphs	140.5	meV per atom
energy of formation from the pure elements	-0.034	eV/atom
electronic total energy	-3.15	eV/atom

CIF file:
```
data_Ho4Zn2Cd
_chemical_formula_sum 'Ho12 Zn6 Cd3'
_space_group_name_H-M_alt 'R -3 m'
_space_group_IT_number 166
_space_group_name_Hall '-R 3 2"'
_cell_length_a 4.9594
_cell_length_b 4.9594
_cell_length_c 26.8867
_cell_angle_alpha 90.00
_cell_angle_beta 90.00
_cell_angle_gamma 120.00
loop_
_atom_site_label
_atom_site_fract_x
_atom_site_fract_y
_atom_site_fract_z
Ho1 0.0000 0.0000 0.1182
Ho2 0.0000 0.0000 0.2952
Zn1 0.0000 0.0000 0.4025
Cd1 0.0000 0.0000 0.5000
```

Entry 7:
Entry from the Alexandria database: a relaxed CdTc2Hg crystal (PBE).

Summary:
relative energy among the computed polymorphs	355.8	meV per atom
energy of formation from the pure elements	0.531	eV/atom
electronic total energy	-4.96	eV/atom

CIF file:
```
data_CdTc2Hg
_chemical_formula_sum 'Cd2 Tc4 Hg2'
_space_group_name_H-M_alt 'I m m 2'
_space_group_IT_number 44
_cell_length_a 3.119
_cell_length_b 4.867
_cell_length_c 9.476
_cell_angle_alpha 90.00
_cell_angle_beta 90.00
_cell_angle_gamma 90.00
loop_
_space_group_symop_operation_xyz
'x,y,z'
'-x,-y,z'
'-x,y,z'
'x,-y,z'
'x+1/2,y+1/2,z+1/2'
'-x+1/2,-y+1/2,z+1/2'
'-x+1/2,y+1/2,z+1/2'
'x+1/2,-y+1/2,z+1/2'
loop_
_atom_site_label
_atom_site_fract_x
_atom_site_fract_y
_atom_site_fract_z
Cd1 0.000 0.000 0.000
Tc1 0.000 0.000 0.536
Tc2 0.000 0.500 0.234
Hg1 0.000 0.500 0.772
```

Entry 8:
Entry from the Alexandria database: a relaxed La4Tm3Tl4 crystal (PBE).

Summary:
energy of formation from the pure elements	-0.261	eV/atom
electronic total energy	-4.13	eV/atom

CIF file:
```
data_La4Tm3Tl4
_chemical_formula_sum 'La8 Tm6 Tl8'
_space_group_name_H-M_alt 'I m m m'
_space_group_IT_number 71
_space_group_name_Hall '-I 2 2'
_cell_length_a 3.614
_cell_length_b 9.505
_cell_length_c 19.832
_cell_angle_alpha 90.00
_cell_angle_beta 90.00
_cell_angle_gamma 90.00
loop_
_atom_site_label
_atom_site_fract_x
_atom_site_fract_y
_atom_site_fract_z
La1 0.000 0.166 0.161
Tm1 0.000 0.000 0.409
Tm2 0.000 0.500 0.500
Tl1 0.000 0.280 0.000
Tl2 0.000 0.500 0.218
```